1.
Entry from the Alexandria database: crystalline NpFeSi2Rh at its relaxed geometry (PBE-GGA).

## Properties
M_tot ... 6.781 μB/cell
Calculated density ... 9.56 g/cm³
Energy relative to the elements, uncorrected ... -570 meV/atom

Cell lengths 3.9932, 3.9932, 9.8495 Å; angles 90.00, 90.00, 90.00 degrees
Last column: nearest neighbours and their distance in Å.
Space group I-4m2 (No. 119)
Unique sites:
Np (0.0000, 0.0000, 0.0000) (multiplicity 2)  8 Si 3.08, 4 Fe 3.17, 4 Rh 3.17
Fe (0.0000, 0.5000, 0.2500) (multiplicity 2)  4 Si 2.35
Si (0.0000, 0.0000, 0.3756) (multiplicity 4)  2 Fe 2.35, 2 Rh 2.35, 1 Si 2.45
Rh (0.0000, 0.5000, 0.7500) (multiplicity 2)  4 Si 2.35

2.
Entry from the Alexandria database: crystalline NpFeSnRh at its relaxed geometry (PBE-GGA).

## Properties
M_tot ... 5.313 μB/cell
Calculated density ... 11.82 g/cm³
E_form ... -0.167 eV/atom

Cell lengths 6.6124, 6.6124, 6.6124 Å; angles 90.00, 90.00, 90.00 degrees
Last column: nearest neighbours and their distance in Å.
Space group F-43m (No. 216)
Unique sites:
Np (0.0000, 0.0000, 0.0000) (multiplicity 4)  4 Rh 2.86, 4 Fe 2.86
Fe (0.2500, 0.2500, 0.2500) (multiplicity 4)  4 Sn 2.86, 4 Np 2.86
Sn (0.0000, 0.0000, 0.5000) (multiplicity 4)  4 Fe 2.86, 4 Rh 2.86
Rh (0.2500, 0.2500, 0.7500) (multiplicity 4)  4 Sn 2.86, 4 Np 2.86